[1]
{"formula": "Zr4ReHg", "functional": "PBE", "state": "relaxed", "cell": [[0.000, 3.966, 3.966], [3.966, 0.000, 3.966], [3.966, 3.966, 0.000]], "species": ["Zr", "Zr", "Zr", "Zr", "Re", "Hg"], "fractional_positions": [[0.377, 0.377, 0.377], [0.377, 0.377, 0.869], [0.377, 0.869, 0.377], [0.869, 0.377, 0.377], [0.750, 0.750, 0.750], [0.000, 0.000, 0.000]], "n_ef_per_ev_cell": 6.2, "polymorph_energy_ev_per_atom": 0.377, "dft_energy_ev_per_cell": -43.77, "vol_a3_per_atom": 20.80, "e_form_mev_per_atom": 528}



[2]
{"formula": "BaZnBr", "functional": "PBE", "state": "relaxed", "cell": [[2.336, 1.349, 12.063], [-2.336, 1.349, 12.063], [0.000, -2.697, 12.063]], "species": ["Ba", "Ba", "Zn", "Zn", "Br", "Br"], "fractional_positions": [[0.000, 0.000, 0.000], [0.138, 0.138, 0.138], [0.402, 0.402, 0.402], [0.736, 0.736, 0.736], [0.618, 0.618, 0.618], [0.853, 0.853, 0.853]], "n_ef_per_ev_cell": 3.4, "polymorph_energy_ev_per_atom": 0.000, "dft_energy_ev_per_cell": -16.27, "vol_a3_per_atom": 38.01}



| no. | M_tot (μB per cell) |
| --- | --- |
| 1 | 0.0 |
| 2 | 0.0 |